[1]
# PBE+U PmCr2WO6, relaxed
# - Size of the total moment: 9.00 μB per cell
# - E: -7.86 eV per atom
# - Crystal system: triclinic
data_PmCr2WO6
_chemical_formula_sum 'Pm1 Cr2 W1 O6'
_space_group_name_H-M_alt 'P 1'
_space_group_IT_number 1
_space_group_name_Hall 'P 1'
_cell_length_a 5.380
_cell_length_b 5.519
_cell_length_c 5.625
_cell_angle_alpha 117.58
_cell_angle_beta 90.31
_cell_angle_gamma 117.75
loop_
_atom_site_label
_atom_site_type_symbol
_atom_site_fract_x
_atom_site_fract_y
_atom_site_fract_z
Pm1 Pm 0.000 0.000 0.000
Cr1 Cr 0.219 0.451 0.653
Cr2 Cr 0.715 0.448 0.161
W1 W 0.514 0.041 0.552
O1 O 0.104 0.567 0.374
O2 O 0.352 0.285 0.856
O3 O 0.434 0.258 0.365
O4 O 0.582 0.971 0.872
O5 O 0.775 0.891 0.356
O6 O 0.904 0.495 0.850

---

[2]
# PBE+U PmZnCr2O8, relaxed
# - Size of the total moment: 2.00 μB per cell
# - E: -6.74 eV per atom
# - Crystal system: tetragonal
data_PmZnCr2O8
_chemical_formula_sum 'Pm2 Zn2 Cr4 O16'
_space_group_name_H-M_alt 'I -4 m 2'
_space_group_IT_number 119
_space_group_name_Hall 'I -4 -2'
_cell_length_a 7.082
_cell_length_b 7.082
_cell_length_c 6.392
_cell_angle_alpha 90.00
_cell_angle_beta 90.00
_cell_angle_gamma 90.00
loop_
_atom_site_label
_atom_site_type_symbol
_atom_site_fract_x
_atom_site_fract_y
_atom_site_fract_z
Pm1 Pm 0.000 0.000 0.000
Zn1 Zn 0.000 0.500 0.250
Cr1 Cr 0.000 0.000 0.500
Cr2 Cr 0.000 0.500 0.750
O1 O 0.000 0.193 0.329
O2 O 0.000 0.317 0.910

---

[3]
# PBE+U Pm2ZnCrO6, relaxed
# - Size of the total moment: 2.00 μB per cell
# - E: -7.14 eV per atom
# - Crystal system: tetragonal
data_Pm2ZnCrO6
_chemical_formula_sum 'Pm2 Zn1 Cr1 O6'
_space_group_name_H-M_alt 'P 4 m m'
_space_group_IT_number 99
_space_group_name_Hall 'P 4 -2'
_cell_length_a 5.276
_cell_length_b 5.276
_cell_length_c 4.784
_cell_angle_alpha 90.00
_cell_angle_beta 90.00
_cell_angle_gamma 90.00
loop_
_atom_site_label
_atom_site_type_symbol
_atom_site_fract_x
_atom_site_fract_y
_atom_site_fract_z
Pm1 Pm 0.000 0.500 0.000
Zn1 Zn 0.000 0.000 0.552
Cr1 Cr 0.500 0.500 0.576
O1 O 0.000 0.000 0.148
O2 O 0.258 0.258 0.702
O3 O 0.500 0.500 0.194

---

[4]
# PBE+U PmZn3Cr4O12, relaxed
# - Size of the total moment: 18.00 μB per cell
# - E: -6.67 eV per atom
# - Crystal system: cubic
data_PmZn3Cr4O12
_chemical_formula_sum 'Pm2 Zn6 Cr8 O24'
_space_group_name_H-M_alt 'I m -3'
_space_group_IT_number 204
_space_group_name_Hall '-I 2 2 3'
_cell_length_a 7.460
_cell_length_b 7.460
_cell_length_c 7.460
_cell_angle_alpha 90.00
_cell_angle_beta 90.00
_cell_angle_gamma 90.00
loop_
_atom_site_label
_atom_site_type_symbol
_atom_site_fract_x
_atom_site_fract_y
_atom_site_fract_z
Pm1 Pm 0.000 0.000 0.000
Zn1 Zn 0.000 0.000 0.500
Cr1 Cr 0.250 0.250 0.250
O1 O 0.000 0.296 0.183

---

[5]
# PBE+U PmZrCr2O6, relaxed
# - Size of the total moment: 7.00 μB per cell
# - E: -8.43 eV per atom
# - Crystal system: triclinic
data_PmZrCr2O6
_chemical_formula_sum 'Pm1 Zr1 Cr2 O6'
_space_group_name_H-M_alt 'P 1'
_space_group_IT_number 1
_space_group_name_Hall 'P 1'
_cell_length_a 5.394
_cell_length_b 5.496
_cell_length_c 5.700
_cell_angle_alpha 63.20
_cell_angle_beta 89.96
_cell_angle_gamma 60.99
loop_
_atom_site_label
_atom_site_type_symbol
_atom_site_fract_x
_atom_site_fract_y
_atom_site_fract_z
Pm1 Pm 0.000 0.000 0.000
Zr1 Zr 0.525 0.960 0.550
Cr1 Cr 0.225 0.556 0.648
Cr2 Cr 0.730 0.537 0.176
O1 O 0.147 0.012 0.394
O2 O 0.353 0.091 0.845
O3 O 0.453 0.425 0.389
O4 O 0.572 0.494 0.863
O5 O 0.841 0.722 0.383
O6 O 0.940 0.693 0.865

---

[6]
# PBE+U PmZrCrO6, relaxed
# - Size of the total moment: 1.98 μB per cell
# - E: -8.04 eV per atom
# - Crystal system: tetragonal
data_PmZrCrO6
_chemical_formula_sum 'Pm2 Zr2 Cr2 O12'
_space_group_name_H-M_alt 'P 42 n m'
_space_group_IT_number 102
_space_group_name_Hall 'P 4n -2n'
_cell_length_a 4.910
_cell_length_b 4.910
_cell_length_c 9.849
_cell_angle_alpha 90.00
_cell_angle_beta 90.00
_cell_angle_gamma 90.00
loop_
_atom_site_label
_atom_site_type_symbol
_atom_site_fract_x
_atom_site_fract_y
_atom_site_fract_z
Pm1 Pm 0.000 0.000 0.000
Zr1 Zr 0.000 0.000 0.651
Cr1 Cr 0.000 0.000 0.328
O1 O 0.175 0.175 0.476
O2 O 0.206 0.206 0.180
O3 O 0.240 0.240 0.804

---

[7]
# PBE+U PmZrCr2O8, relaxed
# - Size of the total moment: 6.00 μB per cell
# - E: -7.95 eV per atom
# - Crystal system: tetragonal
data_PmZrCr2O8
_chemical_formula_sum 'Pm2 Zr2 Cr4 O16'
_space_group_name_H-M_alt 'I -4 m 2'
_space_group_IT_number 119
_space_group_name_Hall 'I -4 -2'
_cell_length_a 7.189
_cell_length_b 7.189
_cell_length_c 6.266
_cell_angle_alpha 90.00
_cell_angle_beta 90.00
_cell_angle_gamma 90.00
loop_
_atom_site_label
_atom_site_type_symbol
_atom_site_fract_x
_atom_site_fract_y
_atom_site_fract_z
Pm1 Pm 0.000 0.000 0.000
Zr1 Zr 0.000 0.500 0.750
Cr1 Cr 0.000 0.000 0.500
Cr2 Cr 0.000 0.500 0.250
O1 O 0.000 0.190 0.670
O2 O 0.000 0.325 0.046

---

[8]
# PBE+U Pr3CrO, relaxed
# - Size of the total moment: 3.84 μB per cell
# - E: -6.30 eV per atom
# - Crystal system: cubic
data_Pr3CrO
_chemical_formula_sum 'Pr3 Cr1 O1'
_space_group_name_H-M_alt 'P m -3 m'
_space_group_IT_number 221
_space_group_name_Hall '-P 4 2 3'
_cell_length_a 5.034
_cell_length_b 5.034
_cell_length_c 5.034
_cell_angle_alpha 90.00
_cell_angle_beta 90.00
_cell_angle_gamma 90.00
loop_
_atom_site_label
_atom_site_type_symbol
_atom_site_fract_x
_atom_site_fract_y
_atom_site_fract_z
Pr1 Pr 0.000 0.000 0.500
Cr1 Cr 0.500 0.500 0.500
O1 O 0.000 0.000 0.000

---

[9]
# PBE+U Pr3CrO6, relaxed
# - Size of the total moment: 12.00 μB per cell
# - E: -8.06 eV per atom
# - Crystal system: orthorhombic
data_Pr3CrO6
_chemical_formula_sum 'Pr12 Cr4 O24'
_space_group_name_H-M_alt 'C m c 21'
_space_group_IT_number 36
_space_group_name_Hall 'C 2c -2'
_cell_length_a 9.347
_cell_length_b 11.689
_cell_length_c 5.755
_cell_angle_alpha 90.00
_cell_angle_beta 90.00
_cell_angle_gamma 90.00
loop_
_atom_site_label
_atom_site_type_symbol
_atom_site_fract_x
_atom_site_fract_y
_atom_site_fract_z
Pr1 Pr 0.000 0.104 0.000
Pr2 Pr 0.194 0.392 0.042
Cr1 Cr 0.000 0.314 0.575
O1 O 0.000 0.283 0.242
O2 O 0.000 0.457 0.754
O3 O 0.153 0.243 0.744
O4 O 0.159 0.012 0.273

---

[10]
# PBE+U PrCrO5, relaxed
# - Size of the total moment: 2.01 μB per cell
# - E: -7.01 eV per atom
# - Crystal system: tetragonal
data_PrCrO5
_chemical_formula_sum 'Pr2 Cr2 O10'
_space_group_name_H-M_alt 'P 4/n m m'
_space_group_IT_number 129
_cell_length_a 7.493
_cell_length_b 7.493
_cell_length_c 4.699
_cell_angle_alpha 90.00
_cell_angle_beta 90.00
_cell_angle_gamma 90.00
loop_
_space_group_symop_operation_xyz
'x,y,z'
'-x,-y,-z'
'-y+1/2,x,z'
'y+1/2,-x,-z'
'-x+1/2,-y+1/2,z'
'x+1/2,y+1/2,-z'
'y,-x+1/2,z'
'-y,x+1/2,-z'
'x+1/2,-y,-z'
'-x+1/2,y,z'
'-y,-x,-z'
'y,x,z'
'-x,y+1/2,-z'
'x,-y+1/2,z'
'y+1/2,x+1/2,-z'
'-y+1/2,-x+1/2,z'
loop_
_atom_site_label
_atom_site_type_symbol
_atom_site_fract_x
_atom_site_fract_y
_atom_site_fract_z
Pr1 Pr 0.250 0.250 0.240
Cr1 Cr 0.250 0.750 0.500
O1 O 0.069 0.750 0.704
O2 O 0.250 0.250 0.743

---

[11]
# PBE+U Rb3Pr3CrO8, relaxed
# - Size of the total moment: 3.90 μB per cell
# - E: -6.58 eV per atom
# - Crystal system: monoclinic
data_Rb3Pr3CrO8
_chemical_formula_sum 'Rb6 Pr6 Cr2 O16'
_space_group_name_H-M_alt 'C 1 2/m 1'
_space_group_IT_number 12
_space_group_name_Hall '-C 2y'
_cell_length_a 12.308
_cell_length_b 7.025
_cell_length_c 7.773
_cell_angle_alpha 90.00
_cell_angle_beta 121.46
_cell_angle_gamma 90.00
loop_
_atom_site_label
_atom_site_type_symbol
_atom_site_fract_x
_atom_site_fract_y
_atom_site_fract_z
Rb1 Rb 0.000 0.000 0.000
Rb2 Rb 0.250 0.250 0.000
Pr1 Pr 0.000 0.500 0.500
Pr2 Pr 0.250 0.250 0.500
Cr1 Cr 0.000 0.000 0.500
O1 O 0.017 0.211 0.339
O2 O 0.204 0.000 0.667
O3 O 0.226 0.500 0.683

---

[12]
# PBE+U PrCr2ReO8, relaxed
# - Size of the total moment: 6.00 μB per cell
# - E: -7.96 eV per atom
# - Crystal system: monoclinic
data_PrCr2ReO8
_chemical_formula_sum 'Pr1 Cr2 Re1 O8'
_space_group_name_H-M_alt 'P 1 2/m 1'
_space_group_IT_number 10
_space_group_name_Hall '-P 2y'
_cell_length_a 4.764
_cell_length_b 6.553
_cell_length_c 4.769
_cell_angle_alpha 90.00
_cell_angle_beta 91.62
_cell_angle_gamma 90.00
loop_
_atom_site_label
_atom_site_type_symbol
_atom_site_fract_x
_atom_site_fract_y
_atom_site_fract_z
Pr1 Pr 0.000 0.000 0.000
Cr1 Cr 0.500 0.248 0.500
Re1 Re 0.000 0.500 0.000
O1 O 0.201 0.296 0.200
O2 O 0.284 0.500 0.714
O3 O 0.330 0.000 0.668

---

> size of the total moment of number 7 (PmZrCr2O8)?

6.00 μB per cell

---

Copy entry 8 word for word.
# PBE+U Pr3CrO, relaxed
# - Size of the total moment: 3.84 μB per cell
# - E: -6.30 eV per atom
# - Crystal system: cubic
data_Pr3CrO
_chemical_formula_sum 'Pr3 Cr1 O1'
_space_group_name_H-M_alt 'P m -3 m'
_space_group_IT_number 221
_space_group_name_Hall '-P 4 2 3'
_cell_length_a 5.034
_cell_length_b 5.034
_cell_length_c 5.034
_cell_angle_alpha 90.00
_cell_angle_beta 90.00
_cell_angle_gamma 90.00
loop_
_atom_site_label
_atom_site_type_symbol
_atom_site_fract_x
_atom_site_fract_y
_atom_site_fract_z
Pr1 Pr 0.000 0.000 0.500
Cr1 Cr 0.500 0.500 0.500
O1 O 0.000 0.000 0.000

---

> Look up the E of the seventh one.

-7.95 eV per atom

---

> What is the E in the fifth record?

-8.43 eV per atom